i:
DFT (PBE-GGA) results for LaPmSiCl after structural relaxation.

a b c (Å): 4.2831 4.2831 20.9000
angles (deg): 90.00 90.00 120.00
Space group R3m (No. 160, hexagonal axes)
One atom of each set of equivalent atoms:
La (0.0000, 0.0000, 0.0000) (multiplicity 3)
Pm (0.0000, 0.0000, 0.5155) (multiplicity 3)
Si (0.0000, 0.0000, 0.2553) (multiplicity 3)
Cl (0.0000, 0.0000, 0.7598) (multiplicity 3)

Calculated values
For the density, the calculation gives 5.21 g/cm3.



ii:
DFT (PBE-GGA) results for LaPmSiCl after structural relaxation.

a b c (Å): 7.325 7.325 7.325
angles (deg): 90.00 90.00 90.00
Space group F-43m (No. 216)
One atom of each set of equivalent atoms:
La (0.000, 0.000, 0.000) (multiplicity 4)
Pm (0.000, 0.000, 0.500) (multiplicity 4)
Si (0.250, 0.250, 0.750) (multiplicity 4)
Cl (0.250, 0.250, 0.250) (multiplicity 4)

Calculated values
For the density, the calculation gives 5.87 g/cm3.



Most stable = i



i:
DFT (PBE-GGA) results for LaPrCl6 after structural relaxation.

a b c (Å): 6.9926 6.9926 19.4603
angles (deg): 90.00 90.00 120.00
Space group R-3 (No. 148, hexagonal axes)
One atom of each set of equivalent atoms:
La (0.0000, 0.0000, 0.0000) (multiplicity 3)
Pr (0.0000, 0.0000, 0.5000) (multiplicity 3)
Cl (0.0016, 0.3512, 0.2495) (multiplicity 18)

Calculated values
For the density, the calculation gives 2.98 g/cm3.



ii:
DFT (PBE-GGA) results for LaPrCl6 after structural relaxation.

a b c (Å): 7.072 12.174 7.671
angles (deg): 90.00 96.27 90.00
Space group C2/m (No. 12)
One atom of each set of equivalent atoms:
La (0.000, 0.000, 0.000) (multiplicity 2)
Pr (0.000, 0.000, 0.500) (multiplicity 2)
Cl (0.147, 0.146, 0.762) (multiplicity 8)
Cl (0.208, 0.500, 0.718) (multiplicity 4)

Calculated values
For the density, the calculation gives 2.49 g/cm3.



Most stable = i



i:
DFT (PBE-GGA) results for LaPt2Cl after structural relaxation.

a b c (Å): 4.655 5.394 7.212
angles (deg): 90.00 90.00 90.00
Space group Imm2 (No. 44)
One atom of each set of equivalent atoms:
La (0.000, 0.000, 0.000) (multiplicity 2)
Pt (0.000, 0.000, 0.557) (multiplicity 2)
Pt (0.000, 0.500, 0.201) (multiplicity 2)
Cl (0.000, 0.500, 0.782) (multiplicity 2)

Calculated values
For the density, the calculation gives 10.36 g/cm3.



ii:
DFT (PBE-GGA) results for LaPt2Cl after structural relaxation.

a b c (Å): 3.698 3.698 7.502
angles (deg): 90.00 90.00 90.00
Space group P4mm (No. 99)
One atom of each set of equivalent atoms:
La (0.000, 0.000, 0.000) (multiplicity 1)
Pt (0.000, 0.000, 0.346) (multiplicity 1)
Pt (0.500, 0.500, 0.279) (multiplicity 1)
Cl (0.500, 0.500, 0.800) (multiplicity 1)

Calculated values
For the density, the calculation gives 9.14 g/cm3.



iii:
DFT (PBE-GGA) results for LaPt2Cl after structural relaxation.

a b c (Å): 3.860 3.846 7.208
angles (deg): 90.00 103.76 90.00
Space group Pm (No. 6)
One atom of each set of equivalent atoms:
La (0.000, 0.000, 0.000) (multiplicity 1)
Pt (0.137, 0.500, 0.306) (multiplicity 1)
Pt (0.637, 0.000, 0.305) (multiplicity 1)
Cl (0.413, 0.500, 0.804) (multiplicity 1)

Calculated values
For the density, the calculation gives 9.02 g/cm3.



Most stable = iii



i:
DFT (PBE-GGA) results for LaPt2Cl after structural relaxation.

a b c (Å): 4.052 4.052 5.478
angles (deg): 90.00 90.00 90.00
Space group P4/mmm (No. 123)
One atom of each set of equivalent atoms:
La (0.000, 0.000, 0.000) (multiplicity 1)
Pt (0.500, 0.500, 0.243) (multiplicity 2)
Cl (0.000, 0.000, 0.500) (multiplicity 1)

Calculated values
For the density, the calculation gives 10.42 g/cm3.



ii:
DFT (PBE-GGA) results for LaPt2Cl after structural relaxation.

a b c (Å): 3.707 4.272 10.419
angles (deg): 90.00 90.00 90.00
Space group Immm (No. 71)
One atom of each set of equivalent atoms:
La (0.000, 0.000, 0.000) (multiplicity 2)
Pt (0.000, 0.500, 0.254) (multiplicity 4)
Cl (0.000, 0.000, 0.500) (multiplicity 2)

Calculated values
For the density, the calculation gives 11.36 g/cm3.



Most stable = ii



i:
DFT (PBE-GGA) results for LaPt2Cl after structural relaxation.

a b c (Å): 4.7178 4.7178 13.7841
angles (deg): 90.00 90.00 120.00
Space group R-3m (No. 166, hexagonal axes)
One atom of each set of equivalent atoms:
La (0.0000, 0.0000, 0.0000) (multiplicity 3)
Pt (0.0000, 0.0000, 0.2131) (multiplicity 6)
Cl (0.0000, 0.0000, 0.5000) (multiplicity 3)

Calculated values
For the density, the calculation gives 10.58 g/cm3.



ii:
DFT (PBE-GGA) results for LaPt2Cl after structural relaxation.

a b c (Å): 3.965 3.965 21.850
angles (deg): 90.00 90.00 90.00
Space group I-42d (No. 122)
One atom of each set of equivalent atoms:
La (0.000, 0.000, 0.000) (multiplicity 4)
Pt (0.243, 0.250, 0.125) (multiplicity 8)
Cl (0.000, 0.000, 0.500) (multiplicity 4)

Calculated values
For the density, the calculation gives 10.91 g/cm3.



iii:
DFT (PBE-GGA) results for LaPt2Cl after structural relaxation.

a b c (Å): 4.3683 4.3683 21.1691
angles (deg): 90.00 90.00 120.00
Space group R3m (No. 160, hexagonal axes)
One atom of each set of equivalent atoms:
La (0.0000, 0.0000, 0.0000) (multiplicity 3)
Pt (0.0000, 0.0000, 0.2477) (multiplicity 3)
Pt (0.0000, 0.0000, 0.5782) (multiplicity 3)
Cl (0.0000, 0.0000, 0.7452) (multiplicity 3)

Calculated values
For the density, the calculation gives 8.04 g/cm3.



Most stable = iii



i:
DFT (PBE-GGA) results for LaPt3Cl after structural relaxation.

a b c (Å): 5.266 5.266 5.266
angles (deg): 90.00 90.00 90.00
Space group Pm-3m (No. 221)
One atom of each set of equivalent atoms:
La (0.000, 0.000, 0.000) (multiplicity 1)
Pt (0.000, 0.000, 0.500) (multiplicity 3)
Cl (0.500, 0.500, 0.500) (multiplicity 1)

Calculated values
For the density, the calculation gives 8.64 g/cm3.



ii:
DFT (PBE-GGA) results for LaPt3Cl after structural relaxation.

a b c (Å): 4.740 4.740 4.740
angles (deg): 90.00 90.00 90.00
Space group Pm-3m (No. 221)
One atom of each set of equivalent atoms:
La (0.000, 0.000, 0.000) (multiplicity 1)
Pt (0.000, 0.500, 0.500) (multiplicity 3)
Cl (0.500, 0.500, 0.500) (multiplicity 1)

Calculated values
For the density, the calculation gives 11.85 g/cm3.



Most stable = ii